PaSbPb2O8 | Alexandria via LeMat-Bulk | GGA-PBE | relaxed; mass density = 8.01 g/cm3; formation energy (no corrections) = -1779 meV per atom; crystal system = orthorhombic; SG = Cmmm, No. 65; calculated total energy = -6.837 eV/atom; size of the total moment = 0.00 μB/f.u.
1.0
3.612 -3.711 0.000
3.612 3.711 0.000
0.000 0.000 6.925
Pa Sb Pb O
1 1 2 8
Direct
0.000 0.000 0.000
0.000 0.000 0.500
0.500 0.500 0.260
0.500 0.500 0.740
0.175 0.825 0.266
0.175 0.825 0.734
0.277 0.277 0.500
0.295 0.295 0.000
0.705 0.705 0.000
0.723 0.723 0.500
0.825 0.175 0.266
0.825 0.175 0.734